1.
Material: Ca3YCo
Method: DFT, PBE-GGA
State: optimized geometry

a = 5.976 Å, b = 5.976 Å, c = 5.976 Å
α = 90.00°, β = 90.00°, γ = 90.00°
Fractional positions:
1 Co 0.500 0.500 0.500
2 Ca 0.500 0.000 0.000
3 Ca 0.000 0.500 0.000
4 Ca 0.000 0.000 0.500
5 Y 0.000 0.000 0.000

M_tot: 4.7 μB/f.u.
volume: 213 Å³/cell
calculated density: 2.1 g/cm3
E: -2.394 eV per atom
offset from the most stable computed form: 118.5 kJ/mol of atoms
SG: No. 221
energy of formation: 1.521 eV per atom

2.
Material: K2YGeO4
Method: DFT, PBE-GGA
State: optimized geometry

a = 6.173 Å, b = 6.173 Å, c = 6.173 Å
α = 85.01°, β = 122.92°, γ = 122.92°
Fractional positions:
1 K 0.500 0.750 0.250
2 Y 0.500 0.250 0.750
3 Ge 0.000 0.500 0.500
4 O 0.095 0.254 0.613
5 O 0.905 0.518 0.159
6 K 0.000 0.000 0.000
7 O 0.641 0.387 0.482
8 O 0.359 0.841 0.746

M_tot: 0.0 μB/f.u.
volume: 158 Å³/cell
calculated density: 3.2 g/cm3
E: -6.120 eV per atom
SG: No. 82
ΔE_f (raw): -1530 kJ/mol of formula units

3.
Material: LiNdNpTe3
Method: DFT, PBE-GGA
State: optimized geometry

a = 4.308 Å, b = 9.004 Å, c = 9.632 Å
α = 103.77°, β = 90.00°, γ = 90.00°
Fractional positions:
1 Te 0.250 0.089 0.872
2 Np 0.750 0.331 0.841
3 Te 0.250 0.572 0.823
4 Te 0.750 0.232 0.499
5 Li 0.250 0.087 0.585
6 Nd 0.750 0.814 0.766
7 Li 0.750 0.913 0.415
8 Nd 0.250 0.186 0.234
9 Te 0.250 0.768 0.501
10 Te 0.750 0.911 0.128
11 Np 0.250 0.669 0.159
12 Te 0.750 0.428 0.177

M_tot: 4.7 μB/f.u.
volume: 363 Å³/cell
calculated density: 7.1 g/cm3
E: -5.835 eV per atom
SG: No. 11
ΔE_f (raw): -575 kJ/mol of formula units

4.
Material: Ni2HgCl
Method: DFT, PBE-GGA
State: optimized geometry

a = 5.473 Å, b = 5.025 Å, c = 3.075 Å
α = 73.75°, β = 87.25°, γ = 122.00°
Fractional positions:
1 Ni 0.000 0.000 0.000
2 Hg 0.500 0.500 0.000
3 Cl 0.000 0.500 0.500
4 Ni 0.500 0.000 0.500

M_tot: 0.7 μB/f.u.
volume: 67 Å³/cell
calculated density: 8.8 g/cm3
E: -2.939 eV per atom
offset from the most stable computed form: 39.5 kJ/mol of atoms
SG: No. 12
ΔE_f (raw): 189 kJ/mol of formula units